(1)
DFT (PBE) results for a relaxed structure of CoOsBrCl2.

a b c (Å): 4.4132 4.4132 5.2565
angles (deg): 90.00 90.00 90.00
With the nearest neighbours (Å) after each atom.
Positions (direct):
Co (0.0000, 0.0000, 0.0000)  4 Cl 2.21
Os (0.0000, 0.0000, 0.5000)  2 Co 2.63
Br (0.5000, 0.5000, 0.5000)  4 Os 3.12, 8 Cl 3.43
Cl (0.0000, 0.5000, 0.0000)  2 Co 2.21
Cl (0.5000, 0.0000, 0.0000)  2 Co 2.21

total moment: 5.2 μB per formula unit
total DFT energy (no corrections): -3.880 eV/atom
crystal system: tetragonal


(2)
DFT (PBE) results for a relaxed structure of TeP.

a b c (Å): 3.3472 3.4287 10.4620
angles (deg): 84.02 85.81 61.73
With the nearest neighbours (Å) after each atom.
Positions (direct):
Te (0.0000, 0.0000, 0.0000)  1 Te 2.72
Te (0.0502, 0.0770, 0.7382)  1 Te 2.72
P (0.3937, 0.4929, 0.4272)  3 P 2.28-2.31
P (0.7393, 0.8651, 0.3151)  3 P 2.28-2.31

total moment: 0.0 μB per formula unit
total DFT energy (no corrections): -4.101 eV/atom
crystal system: triclinic


(3)
DFT (PBE) results for a relaxed structure of Sc2BeCoH.

a b c (Å): 4.4186 4.4186 3.3349
angles (deg): 90.00 90.00 90.00
With the nearest neighbours (Å) after each atom.
Positions (direct):
Sc (0.0000, 0.5000, 0.0000)  2 H 2.21
Sc (0.5000, 0.0000, 0.0000)  2 H 2.21
Be (0.0000, 0.0000, 0.5000)  8 Sc 2.77
Co (0.5000, 0.5000, 0.5000)  2 H 1.67
H (0.5000, 0.5000, 0.0000)  2 Co 1.67

total moment: 0.4 μB per formula unit
total DFT energy (no corrections): -5.637 eV/atom
crystal system: tetragonal


(4)
DFT (PBE) results for a relaxed structure of LiCuP2O6.

a b c (Å): 7.6528 7.6528 4.7492
angles (deg): 105.25 105.25 92.41
With the nearest neighbours (Å) after each atom.
Positions (direct):
Li (0.2328, 0.7672, 0.7500)  4 O 1.89-2.11
Li (0.7672, 0.2328, 0.2500)  4 O 1.89-2.11
Cu (0.0980, 0.9020, 0.2500)  2 O 1.88
Cu (0.9020, 0.0980, 0.7500)  2 O 1.88
P (0.1981, 0.3666, 0.2606)  4 O 1.48-1.62
P (0.3666, 0.1981, 0.7606)  4 O 1.48-1.62
P (0.6334, 0.8019, 0.2394)  4 O 1.48-1.62
P (0.8019, 0.6334, 0.7394)  4 O 1.48-1.62
O (0.0207, 0.2370, 0.1515)  1 P 1.53
O (0.1909, 0.5614, 0.4051)  1 P 1.48
O (0.2370, 0.0207, 0.6515)  1 P 1.53
O (0.2836, 0.3511, 0.9807)  2 P 1.61-1.62
O (0.3511, 0.2836, 0.4807)  2 P 1.61-1.62
O (0.4386, 0.8091, 0.0949)  1 P 1.48
O (0.5614, 0.1909, 0.9051)  1 P 1.48
O (0.6489, 0.7164, 0.5193)  2 P 1.61-1.62
O (0.7164, 0.6489, 0.0193)  2 P 1.61-1.62
O (0.7630, 0.9793, 0.3485)  1 P 1.53
O (0.8091, 0.4386, 0.5949)  1 P 1.48
O (0.9793, 0.7630, 0.8485)  1 P 1.53

total moment: 0.0 μB per formula unit
total DFT energy (no corrections): -6.551 eV/atom
crystal system: monoclinic


(5)
DFT (PBE) results for a relaxed structure of Cs.

a b c (Å): 5.4482 5.4482 5.4482
angles (deg): 119.69 119.69 90.54
With the nearest neighbours (Å) after each atom.
Positions (direct):
Cs (0.0000, 0.0000, 0.0000)  12 Cs 5.45-5.47

energy relative to the elements: 0.00 eV per formula unit
total moment: 0.0 μB per formula unit
crystal system: tetragonal


(6)
DFT (PBE) results for a relaxed structure of CaPm4Pr2.

a b c (Å): 21.3848 21.3848 21.3848
angles (deg): 9.90 9.90 9.90
With the nearest neighbours (Å) after each atom.
Positions (direct):
Ca (0.0000, 0.0000, 0.0000)  6 Ca 3.69, 6 Pm 3.84
Pm (0.1437, 0.1437, 0.1437)  9 Pm 3.63-3.69, 3 Pr 3.71
Pm (0.2833, 0.2833, 0.2833)  3 Pr 3.63, 6 Pm 3.69, 3 Ca 3.84
Pm (0.7167, 0.7167, 0.7167)  3 Pr 3.63, 6 Pm 3.69, 3 Ca 3.84
Pm (0.8563, 0.8563, 0.8563)  9 Pm 3.63-3.69, 3 Pr 3.71
Pr (0.4294, 0.4294, 0.4294)  6 Pm 3.63-3.71, 6 Pr 3.69
Pr (0.5706, 0.5706, 0.5706)  6 Pm 3.63-3.71, 6 Pr 3.69

energy relative to the elements: 0.20 eV per formula unit
total moment: 0.0 μB per formula unit
crystal system: trigonal


(7)
DFT (PBE) results for a relaxed structure of La4Sc.

a b c (Å): 12.7066 12.7066 12.7066
angles (deg): 163.27 163.27 23.75
With the nearest neighbours (Å) after each atom.
Positions (direct):
La (0.0914, 0.0914, 0.0000)  4 Sc 3.46, 8 La 3.67-3.70
La (0.3049, 0.3049, 0.0000)  12 La 3.67-3.78
La (0.6951, 0.6951, 0.0000)  12 La 3.67-3.78
La (0.9086, 0.9086, 0.0000)  4 Sc 3.46, 8 La 3.67-3.70
Sc (0.5000, 0.5000, 0.0000)  8 La 3.46, 4 Sc 3.70

energy relative to the elements: 0.18 eV per formula unit
total moment: 0.0 μB per formula unit
crystal system: tetragonal


(8)
DFT (PBE) results for a relaxed structure of LiDyMg4.

a b c (Å): 5.9691 5.9691 5.9691
angles (deg): 60.00 60.00 60.00
With the nearest neighbours (Å) after each atom.
Positions (direct):
Li (0.0000, 0.0000, 0.0000)  12 Mg 3.50, 4 Dy 3.66
Dy (0.7500, 0.7500, 0.7500)  12 Mg 3.50, 4 Li 3.66
Mg (0.3751, 0.3751, 0.3751)  6 Mg 2.98-2.99
Mg (0.3751, 0.3751, 0.8746)  6 Mg 2.98-2.99
Mg (0.3751, 0.8746, 0.3751)  6 Mg 2.98-2.99
Mg (0.8746, 0.3751, 0.3751)  6 Mg 2.98-2.99

energy relative to the elements: 0.18 eV per formula unit
total moment: 0.0 μB per formula unit
crystal system: cubic